A geometry-optimized Zr3CuH3 structure, computed with PBE.

Computed properties:
The calculated density is 6.08 Mg/m³. The calculation puts the calculated volume at 13.3 A^3/atom. The raw total energy is -5.942 eV/atom. Its space group is Pm-3n.

Geometry as extended XYZ:
```
14
Lattice="5.706 0.000 0.000 0.000 5.706 0.000 0.000 0.000 5.706" Properties=species:S:1:pos:R:3 pbc="T T T"
Cu 2.853 2.853 2.853
Cu 0.000 0.000 0.000
H 1.427 0.000 2.853
H 2.853 4.280 0.000
H 0.000 2.853 4.280
H 2.853 1.427 0.000
H 4.280 0.000 2.853
H 0.000 2.853 1.427
Zr 4.280 2.853 0.000
Zr 0.000 1.427 2.853
Zr 0.000 4.280 2.853
Zr 2.853 0.000 1.427
Zr 2.853 0.000 4.280
Zr 1.427 2.853 0.000
```